# Tm2HfBe PBE optimized geometry
data_Tm2HfBe
_chemical_formula_sum 'Tm2 Hf1 Be1'
_symmetry_space_group_name_H-M 'P 4/m m m'
_symmetry_Int_Tables_number 123
_symmetry_space_group_name_Hall '-P 4 2'
_cell_length_a 3.310
_cell_length_b 3.310
_cell_length_c 8.139
_cell_angle_alpha 90.00
_cell_angle_beta 90.00
_cell_angle_gamma 90.00
loop_
_atom_site_label
_atom_site_type_symbol
_atom_site_fract_x
_atom_site_fract_y
_atom_site_fract_z
Tm1 Tm 0.000 0.000 0.213
Hf1 Hf 0.500 0.500 0.500
Be1 Be 0.500 0.500 0.000
# formation enthalpy at 0 K = 108 meV/atom
# V = 22.29 Å³ per atom